P:
Material: Cr5Ru
Method: DFT, PBE-GGA
State: optimized geometry

- DOS(E_F): 6.360 states/eV per cell
- Space group: No. 65
- Total magnetic moment: 0.000 μB per formula unit

Geometry as extended XYZ:
```
6
Lattice="-0.802 -2.691 -0.665 5.280 -3.277 0.634 -0.915 -0.707 3.967" Properties=species:S:1:pos:R:3 pbc="T T T"
Ru 0.318 -3.581 1.587
Cr 2.652 -3.865 -0.077
Cr 4.982 -3.176 0.584
Cr 1.178 -1.882 -0.064
Cr 2.707 -2.911 2.258
Cr 4.010 -4.836 2.216
```

***

Q:
Material: Cr5Ru
Method: DFT, PBE-GGA
State: optimized geometry

- DOS(E_F): 8.457 states/eV per cell
- Space group: No. 216
- Total magnetic moment: 1.506 μB per formula unit

Geometry as extended XYZ:
```
6
Lattice="-4.062 -0.241 -2.375 -3.468 3.045 0.949 -1.109 3.354 -3.118" Properties=species:S:1:pos:R:3 pbc="T T T"
Cr -4.840 2.180 -1.290
Cr -3.376 3.961 -1.658
Cr -3.671 2.333 -3.305
Cr -5.389 3.842 -2.835
Cr -2.160 1.539 -1.136
Ru 0.000 0.000 0.000
```

***

Which one sits at the top of the stability order? P does.

***

P:
Material: Cr5Ru
Method: DFT, PBE-GGA
State: optimized geometry

- DOS(E_F): 6.169 states/eV per cell
- Space group: No. 12
- Total magnetic moment: 0.000 μB per formula unit

Geometry as extended XYZ:
```
6
Lattice="-0.699 -1.146 2.546 -3.058 -1.732 -3.246 2.017 -5.151 -1.765" Properties=species:S:1:pos:R:3 pbc="T T T"
Cr -0.442 -4.617 -0.573
Cr 1.750 -4.927 -1.737
Cr -0.939 -5.629 -2.792
Cr -1.935 -3.162 -1.954
Cr 0.753 -2.459 -0.900
Ru -1.451 -2.041 0.310
```

***

Q:
Material: Cr5Ru
Method: DFT, PBE-GGA
State: optimized geometry

- DOS(E_F): 6.607 states/eV per cell
- Space group: No. 191
- Total magnetic moment: 0.000 μB per formula unit

Geometry as extended XYZ:
```
6
Lattice="-0.973 4.283 -1.579 -1.869 -3.736 -2.082 -3.178 0.198 2.496" Properties=species:S:1:pos:R:3 pbc="T T T"
Ru 0.000 0.000 0.000
Cr -2.523 -1.769 0.207
Cr -2.076 2.241 0.459
Cr -1.272 1.610 -1.747
Cr -1.570 -1.063 -1.915
Cr -3.010 0.373 -0.583
```

***

Which one sits at the top of the stability order? P does.

***

P:
Material: CrRu2S2
Method: DFT, PBE-GGA
State: optimized geometry

- DOS(E_F): 15.962 states/eV per cell
- Space group: No. 127
- Total magnetic moment: 0.069 μB per formula unit

Geometry as extended XYZ:
```
10
Lattice="6.759 0.000 0.000 0.000 6.759 0.000 0.000 0.000 3.048" Properties=species:S:1:pos:R:3 pbc="T T T"
S 2.269 1.110 1.524
S 1.110 4.490 1.524
S 5.649 2.269 1.524
S 4.490 5.649 1.524
Ru 4.328 0.949 0.000
Ru 0.949 2.431 0.000
Ru 5.810 4.328 0.000
Ru 2.431 5.810 0.000
Cr 3.380 3.380 0.000
Cr 0.000 0.000 0.000
```

***

Q:
Material: CrRu2S2
Method: DFT, PBE-GGA
State: optimized geometry

- DOS(E_F): 2.295 states/eV per cell
- Space group: No. 139
- Total magnetic moment: 3.781 μB per formula unit

Geometry as extended XYZ:
```
5
Lattice="4.383 0.000 0.000 0.000 4.383 0.000 2.192 2.192 4.141" Properties=species:S:1:pos:R:3 pbc="T T T"
S 2.192 4.383 2.070
S 4.383 2.192 2.070
Ru 4.383 4.383 2.889
Ru 2.192 2.192 1.251
Cr 0.000 0.000 0.000
```

***

Which one sits at the top of the stability order? Q does.

***

P:
Material: CrRu3S
Method: DFT, PBE-GGA
State: optimized geometry

- DOS(E_F): 5.074 states/eV per cell
- Space group: No. 221
- Total magnetic moment: 2.654 μB per formula unit

Geometry as extended XYZ:
```
5
Lattice="4.452 0.000 0.000 0.000 4.452 0.000 0.000 0.000 4.452" Properties=species:S:1:pos:R:3 pbc="T T T"
Ru 2.226 0.000 0.000
Ru 0.000 2.226 0.000
Ru 0.000 0.000 2.226
Cr 0.000 0.000 0.000
S 2.226 2.226 2.226
```

***

Q:
Material: CrRu3S
Method: DFT, PBE-GGA
State: optimized geometry

- DOS(E_F): 15.879 states/eV per cell
- Space group: No. 221
- Total magnetic moment: 0.253 μB per formula unit

Geometry as extended XYZ:
```
5
Lattice="-1.665 2.948 -2.621 0.184 -2.784 -3.247 -3.940 -1.375 0.956" Properties=species:S:1:pos:R:3 pbc="T T T"
S 0.000 0.000 0.000
Ru -1.970 -0.688 0.478
Ru 0.092 -1.392 -1.624
Ru -0.832 1.474 -1.311
Cr -2.710 -0.606 -2.456
```

***

Which one sits at the top of the stability order? Q does.